Cs3HgCl6: optimized geometry, PBE.

a = 8.132 Å, b = 8.132 Å, c = 8.132 Å
α = 60.00°, β = 60.00°, γ = 60.00°
Sites, in units of the cell vectors:
Cl1 0.773 0.227 0.227
Cl2 0.227 0.773 0.227
Cl3 0.773 0.773 0.227
Cl4 0.227 0.227 0.773
Cl5 0.773 0.227 0.773
Cl6 0.227 0.773 0.773
Cs1 0.250 0.250 0.250
Cs2 0.500 0.500 0.500
Cs3 0.750 0.750 0.750
Hg1 0.000 0.000 0.000

Computed properties:
Total energy   -0.0983 hartree per atom